Entry 1:
Below is a PBEsol-optimized structure of ErCu3Te3, with properties calculated at the SCAN level.

Crystal system: orthorhombic
VASP energy, eV/atom: -30.25
Space group: Pmn2_1
Distance to the lowest polymorph of the same formula, meV/atom: 0.0

```
ErCu3Te3
1.0
12.572 0.000 0.000
0.000 7.502 0.000
0.000 0.000 6.762
Er Cu Te
4 12 12
Cartesian
2.015 1.874 0.000 Er
4.271 5.627 3.381 Er
8.301 5.627 3.381 Er
10.557 1.874 0.000 Er
0.000 0.939 4.272 Cu
0.000 2.805 2.483 Cu
2.193 4.633 5.926 Cu
2.197 6.616 0.839 Cu
4.089 0.885 4.220 Cu
4.093 2.868 2.545 Cu
6.286 4.696 5.864 Cu
6.286 6.563 0.891 Cu
8.479 2.868 2.545 Cu
8.482 0.885 4.220 Cu
10.375 6.616 0.839 Cu
10.379 4.633 5.926 Cu
0.000 0.338 1.698 Te
0.000 3.407 5.062 Te
2.039 4.254 1.804 Te
2.039 6.995 4.960 Te
4.247 0.506 1.579 Te
4.247 3.247 5.185 Te
6.286 4.095 1.681 Te
6.286 7.164 5.079 Te
8.325 0.506 1.579 Te
8.325 3.247 5.185 Te
10.533 4.254 1.804 Te
10.533 6.995 4.960 Te
```

=====

Entry 2:
Below is a PBEsol-optimized structure of ErCu3Te3, with properties calculated at the SCAN level.

Crystal system: trigonal
VASP energy, eV/atom: -30.21
Space group: R-3
Distance to the lowest polymorph of the same formula, meV/atom: 46.4

```
ErCu3Te3
1.0
3.642 2.103 6.823
-3.642 2.103 6.823
0.000 -4.206 6.823
Er Cu Te
2 6 6
Cartesian
0.000 0.000 3.332 Er
0.000 0.000 17.137 Er
-1.216 -2.351 7.656 Cu
-2.644 -0.123 12.814 Cu
-1.428 2.229 7.656 Cu
1.428 -2.229 12.814 Cu
2.644 0.123 7.656 Cu
1.216 2.351 12.814 Cu
-2.263 -0.050 8.575 Te
-1.088 -1.985 11.894 Te
1.175 -1.934 8.575 Te
-1.175 1.934 11.894 Te
1.088 1.985 8.575 Te
2.263 0.050 11.894 Te
```